KU3Au4Se12 | PBE-GGA | optimized geometry

Cell and atoms, written as POSCAR:
```
KU3Au4Se12
1.0
-1.979 -7.194 5.682
4.817 -3.147 -7.406
5.215 6.261 4.644
Se K Au U
12 1 4 3
Direct
0.043 0.674 0.757
0.664 0.500 0.336
0.957 0.243 0.326
0.326 0.957 0.243
0.500 0.108 0.892
0.243 0.326 0.957
0.500 0.336 0.664
0.757 0.043 0.674
0.674 0.757 0.043
0.336 0.664 0.500
0.892 0.500 0.108
0.108 0.892 0.500
0.000 0.000 0.000
0.834 0.166 0.500
0.500 0.834 0.166
0.166 0.500 0.834
0.500 0.500 0.500
0.561 0.439 0.000
0.439 0.000 0.561
0.000 0.561 0.439
```

## Properties
- total DFT energy (no corrections) (eV/atom) = -5.05
- SG = R32 (155)

---

KU4Au3Se12 | PBE-GGA | optimized geometry

Cell and atoms, written as POSCAR:
```
KU4Au3Se12
1.0
-5.902 -6.637 -1.185
8.275 -3.408 0.456
-1.869 4.335 7.616
U Au Se K
4 3 12 1
Direct
0.000 0.000 0.500
0.500 0.500 0.500
0.500 0.000 0.000
0.000 0.500 0.000
0.000 0.500 0.500
0.500 0.500 0.000
0.500 0.000 0.500
0.517 0.690 0.826
0.690 0.174 0.864
0.136 0.310 0.826
0.310 0.174 0.483
0.690 0.826 0.517
0.174 0.864 0.690
0.826 0.136 0.310
0.826 0.517 0.690
0.174 0.483 0.310
0.483 0.310 0.174
0.310 0.826 0.136
0.864 0.690 0.174
0.000 0.000 0.000
```

## Properties
- total DFT energy (no corrections) (eV/atom) = -5.61
- SG = Im-3 (204)

---

K2UAu2Se4 | PBE-GGA | optimized geometry

Cell and atoms, written as POSCAR:
```
K2UAu2Se4
1.0
-1.034 -4.047 -0.535
1.166 -1.336 7.855
-6.757 4.051 -1.018
Au K Se U
2 2 4 1
Direct
0.321 0.010 0.642
0.679 0.990 0.358
0.865 0.418 0.731
0.135 0.582 0.269
0.807 0.792 0.614
0.490 0.241 0.981
0.510 0.759 0.019
0.193 0.208 0.386
0.000 0.000 0.000
```

## Properties
- total DFT energy (no corrections) (eV/atom) = -4.63
- SG = C2/m (12)

---

K3UAu2Se6 | PBE-GGA | optimized geometry

Cell and atoms, written as POSCAR:
```
K3UAu2Se6
1.0
-5.421 -2.775 5.055
1.115 -3.584 -6.967
5.973 -5.124 3.592
K Se Au U
3 6 2 1
Direct
0.333 0.667 0.679
0.667 0.333 0.321
0.000 0.000 0.000
0.848 0.696 0.700
0.304 0.152 0.700
0.152 0.848 0.300
0.696 0.848 0.300
0.152 0.304 0.300
0.848 0.152 0.700
0.667 0.333 0.696
0.333 0.667 0.304
0.000 0.000 0.500
```

## Properties
- total DFT energy (no corrections) (eV/atom) = -4.23
- SG = P-3m1 (164)

---

K3U3AuSe8 | PBE-GGA | optimized geometry

Cell and atoms, written as POSCAR:
```
K3U3AuSe8
1.0
8.735 0.000 0.000
-4.367 6.881 0.114
0.000 -4.396 7.635
Se K U Au
8 3 3 1
Direct
0.789 0.577 0.317
0.211 0.423 0.683
0.688 0.951 0.719
0.263 0.951 0.719
0.737 0.049 0.281
0.738 0.475 0.709
0.262 0.525 0.291
0.312 0.049 0.281
0.000 0.000 0.000
0.000 0.500 0.000
0.500 0.500 0.000
0.500 0.000 0.500
0.500 0.500 0.500
0.000 0.500 0.500
0.000 0.000 0.500
```

## Properties
- total DFT energy (no corrections) (eV/atom) = -5.63
- SG = C2/m (12)

---

K2UAu2Se6 | PBE-GGA | optimized geometry

Cell and atoms, written as POSCAR:
```
K2UAu2Se6
1.0
-6.386 -3.872 1.738
5.298 -3.184 -4.537
3.196 -2.734 5.650
Au Se K U
2 6 2 1
Direct
0.667 0.333 0.208
0.333 0.667 0.792
0.301 0.211 0.248
0.789 0.090 0.248
0.910 0.699 0.248
0.211 0.910 0.752
0.699 0.789 0.752
0.090 0.301 0.752
0.333 0.667 0.290
0.667 0.333 0.710
0.000 0.000 0.000
```

## Properties
- total DFT energy (no corrections) (eV/atom) = -4.33
- SG = P-3 (147)

---

KU2Au2Se6 | PBE-GGA | optimized geometry

Cell and atoms, written as POSCAR:
```
KU2Au2Se6
1.0
-6.841 -2.728 -1.184
-2.673 -0.797 -7.488
1.832 -6.371 4.909
Au Se K U
2 6 1 2
Direct
0.784 0.249 0.185
0.216 0.751 0.815
0.793 0.171 0.443
0.416 0.796 0.071
0.207 0.829 0.557
0.029 0.547 0.817
0.971 0.453 0.183
0.584 0.204 0.929
0.500 0.000 0.500
0.163 0.669 0.163
0.837 0.331 0.837
```

## Properties
- total DFT energy (no corrections) (eV/atom) = -5.45
- SG = P-1 (2)

---

K2U2AuSe6 | PBE-GGA | optimized geometry

Cell and atoms, written as POSCAR:
```
K2U2AuSe6
1.0
7.545 -0.443 0.128
-4.115 6.340 0.128
-1.140 -1.959 7.755
U Au Se K
2 1 6 2
Direct
0.662 0.338 0.500
0.338 0.662 0.500
0.000 0.000 0.500
0.259 0.259 0.322
0.741 0.741 0.678
0.952 0.556 0.291
0.444 0.048 0.709
0.556 0.952 0.291
0.048 0.444 0.709
0.147 0.853 0.000
0.853 0.147 0.000
```

## Properties
- total DFT energy (no corrections) (eV/atom) = -5.47
- SG = C2/m (12)

---

Number 1: spin magnetization 0.000 μB per atom, formation energy without anion corrections -0.554 eV per atom, calculated volume 32.0 A^3/atom. Number 2: spin magnetization 0.203 μB per atom, formation energy without anion corrections -0.712 eV per atom, calculated volume 27.7 A^3/atom. Number 3: spin magnetization 0.221 μB per atom, formation energy without anion corrections -0.857 eV per atom, calculated volume 27.1 A^3/atom. Number 4: spin magnetization 0.000 μB per atom, formation energy without anion corrections -0.731 eV per atom, calculated volume 39.1 A^3/atom. Number 5: spin magnetization 0.400 μB per atom, formation energy without anion corrections -1.072 eV per atom, calculated volume 30.9 A^3/atom. Number 6: spin magnetization 0.000 μB per atom, formation energy without anion corrections -0.604 eV per atom, calculated volume 32.6 A^3/atom. Number 7: spin magnetization 0.273 μB per atom, formation energy without anion corrections -0.800 eV per atom, calculated volume 30.3 A^3/atom. Number 8: spin magnetization 0.273 μB per atom, formation energy without anion corrections -1.020 eV per atom, calculated volume 32.8 A^3/atom.